Entry 1:
Density functional theory data (GGA-PBE) for crystalline MnOsC3 at its relaxed geometry.

Cell and atoms, written as CIF:
```
data_MnOsC3
_cell_length_a 3.725
_cell_length_b 3.725
_cell_length_c 3.725
_cell_angle_alpha 90.00
_cell_angle_beta 90.00
_cell_angle_gamma 90.00
_symmetry_space_group_name_H-M 'P 1'
_symmetry_Int_Tables_number 1
_symmetry_space_group_name_Hall 'P 1'
loop_
_atom_site_label
_atom_site_fract_x
_atom_site_fract_y
_atom_site_fract_z
Mn1 0.000 0.000 0.000
Os1 0.500 0.500 0.500
C1 0.000 0.000 0.500
C2 0.000 0.500 0.000
C3 0.500 0.000 0.000
```

Values from the calculation:
For the formation energy, the calculation gives 2.3231 eV/atom. The value obtained for the raw total energy is -0.26794 hartree per atom.

=====

Entry 2:
Density functional theory data (GGA-PBE) for crystalline Fe9Co4Rh11 at its relaxed geometry.

Cell and atoms, written as CIF:
```
data_Fe9Co4Rh11
_cell_length_a 10.790
_cell_length_b 10.790
_cell_length_c 2.827
_cell_angle_alpha 90.00
_cell_angle_beta 90.00
_cell_angle_gamma 102.12
_symmetry_space_group_name_H-M 'P 1'
_symmetry_Int_Tables_number 1
_symmetry_space_group_name_Hall 'P 1'
loop_
_atom_site_label
_atom_site_fract_x
_atom_site_fract_y
_atom_site_fract_z
Fe1 0.000 0.000 0.000
Fe2 0.099 0.656 0.000
Fe3 0.299 0.489 0.000
Fe4 0.344 0.901 0.000
Fe5 0.489 0.299 0.000
Fe6 0.511 0.701 0.000
Fe7 0.656 0.099 0.000
Fe8 0.701 0.511 0.000
Fe9 0.901 0.344 0.000
Co1 0.078 0.231 0.000
Co2 0.231 0.078 0.000
Co3 0.769 0.922 0.000
Co4 0.922 0.769 0.000
Rh1 0.101 0.442 0.500
Rh2 0.131 0.869 0.500
Rh3 0.285 0.285 0.500
Rh4 0.307 0.693 0.500
Rh5 0.442 0.101 0.500
Rh6 0.500 0.500 0.500
Rh7 0.558 0.899 0.500
Rh8 0.693 0.307 0.500
Rh9 0.715 0.715 0.500
Rh10 0.869 0.131 0.500
Rh11 0.899 0.558 0.500
```

Values from the calculation:
For the formation energy, the calculation gives 0.0304 eV/atom. The value obtained for the raw total energy is -0.28285 hartree per atom.

=====

Entry 3:
Density functional theory data (GGA-PBE) for crystalline Pm2HoRh9 at its relaxed geometry.

Cell and atoms, written as CIF:
```
data_Pm2HoRh9
_cell_length_a 9.378
_cell_length_b 9.378
_cell_length_c 9.378
_cell_angle_alpha 32.70
_cell_angle_beta 32.70
_cell_angle_gamma 32.70
_symmetry_space_group_name_H-M 'P 1'
_symmetry_Int_Tables_number 1
_symmetry_space_group_name_Hall 'P 1'
loop_
_atom_site_label
_atom_site_fract_x
_atom_site_fract_y
_atom_site_fract_z
Pm1 0.139 0.139 0.139
Pm2 0.861 0.861 0.861
Ho1 0.000 0.000 0.000
Rh1 0.082 0.581 0.581
Rh2 0.333 0.333 0.333
Rh3 0.419 0.419 0.918
Rh4 0.419 0.918 0.419
Rh5 0.500 0.500 0.500
Rh6 0.581 0.082 0.581
Rh7 0.581 0.581 0.082
Rh8 0.667 0.667 0.667
Rh9 0.918 0.419 0.419
```

Values from the calculation:
For the formation energy, the calculation gives -0.5256 eV/atom. The value obtained for the raw total energy is -0.26505 hartree per atom.

=====

Entry 4:
Density functional theory data (GGA-PBE) for crystalline CsZnBi3 at its relaxed geometry.

Cell and atoms, written as CIF:
```
data_CsZnBi3
_cell_length_a 6.486
_cell_length_b 6.486
_cell_length_c 6.486
_cell_angle_alpha 90.00
_cell_angle_beta 90.00
_cell_angle_gamma 90.00
_symmetry_space_group_name_H-M 'P 1'
_symmetry_Int_Tables_number 1
_symmetry_space_group_name_Hall 'P 1'
loop_
_atom_site_label
_atom_site_fract_x
_atom_site_fract_y
_atom_site_fract_z
Cs1 0.000 0.000 0.000
Zn1 0.500 0.500 0.500
Bi1 0.000 0.000 0.500
Bi2 0.000 0.500 0.000
Bi3 0.500 0.000 0.000
```

Values from the calculation:
For the formation energy, the calculation gives 1.4170 eV/atom. The value obtained for the raw total energy is -0.04914 hartree per atom.

=====

Entry 5:
Density functional theory data (GGA-PBE) for crystalline Pu2AlV at its relaxed geometry.

Cell and atoms, written as CIF:
```
data_Pu2AlV
_cell_length_a 6.956
_cell_length_b 6.956
_cell_length_c 6.956
_cell_angle_alpha 90.00
_cell_angle_beta 90.00
_cell_angle_gamma 90.00
_symmetry_space_group_name_H-M 'P 1'
_symmetry_Int_Tables_number 1
_symmetry_space_group_name_Hall 'P 1'
loop_
_atom_site_label
_atom_site_fract_x
_atom_site_fract_y
_atom_site_fract_z
Pu1 0.250 0.250 0.250
Pu2 0.250 0.250 0.750
Pu3 0.250 0.750 0.250
Pu4 0.250 0.750 0.750
Pu5 0.750 0.250 0.250
Pu6 0.750 0.250 0.750
Pu7 0.750 0.750 0.250
Pu8 0.750 0.750 0.750
Al1 0.000 0.000 0.000
Al2 0.000 0.500 0.500
Al3 0.500 0.000 0.500
Al4 0.500 0.500 0.000
V1 0.000 0.000 0.500
V2 0.000 0.500 0.000
V3 0.500 0.000 0.000
V4 0.500 0.500 0.500
```

Values from the calculation:
For the formation energy, the calculation gives 0.2287 eV/atom. The value obtained for the raw total energy is -0.37310 hartree per atom.

=====

Entry 6:
Density functional theory data (GGA-PBE) for crystalline Cs2ZnSbI6 at its relaxed geometry.

Cell and atoms, written as CIF:
```
data_Cs2ZnSbI6
_cell_length_a 8.508
_cell_length_b 8.508
_cell_length_c 8.508
_cell_angle_alpha 119.33
_cell_angle_beta 119.33
_cell_angle_gamma 91.16
_symmetry_space_group_name_H-M 'P 1'
_symmetry_Int_Tables_number 1
_symmetry_space_group_name_Hall 'P 1'
loop_
_atom_site_label
_atom_site_fract_x
_atom_site_fract_y
_atom_site_fract_z
Cs1 0.250 0.750 0.500
Cs2 0.750 0.250 0.500
Zn1 0.000 0.000 0.000
Sb1 0.500 0.500 0.000
I1 0.240 0.240 0.000
I2 0.248 0.248 0.496
I3 0.248 0.752 0.000
I4 0.752 0.248 0.000
I5 0.752 0.752 0.504
I6 0.760 0.760 0.000
```

Values from the calculation:
The value obtained for the raw total energy is -0.09023 hartree per atom. For the uncorrected formation energy, the calculation gives -815 meV per atom.

=====

Entry 7:
Density functional theory data (GGA-PBE) for crystalline AcTbYS3 at its relaxed geometry.

Cell and atoms, written as CIF:
```
data_AcTbYS3
_cell_length_a 7.843
_cell_length_b 4.041
_cell_length_c 10.130
_cell_angle_alpha 90.00
_cell_angle_beta 103.74
_cell_angle_gamma 90.00
_symmetry_space_group_name_H-M 'P 1'
_symmetry_Int_Tables_number 1
_symmetry_space_group_name_Hall 'P 1'
loop_
_atom_site_label
_atom_site_fract_x
_atom_site_fract_y
_atom_site_fract_z
Ac1 0.187 0.250 0.209
Ac2 0.813 0.750 0.791
Tb1 0.336 0.750 0.907
Tb2 0.664 0.250 0.093
Y1 0.177 0.250 0.623
Y2 0.823 0.750 0.377
S1 0.098 0.250 0.887
S2 0.191 0.750 0.442
S3 0.481 0.750 0.189
S4 0.519 0.250 0.811
S5 0.809 0.250 0.558
S6 0.902 0.750 0.113
```

Values from the calculation:
The value obtained for the raw total energy is -0.23577 hartree per atom. For the uncorrected formation energy, the calculation gives -1818 meV per atom.

=====

Entry 8:
Density functional theory data (GGA-PBE) for crystalline FeGe3 at its relaxed geometry.

Cell and atoms, written as CIF:
```
data_FeGe3
_cell_length_a 3.703
_cell_length_b 8.391
_cell_length_c 7.912
_cell_angle_alpha 90.00
_cell_angle_beta 90.00
_cell_angle_gamma 90.00
_symmetry_space_group_name_H-M 'P 1'
_symmetry_Int_Tables_number 1
_symmetry_space_group_name_Hall 'P 1'
loop_
_atom_site_label
_atom_site_fract_x
_atom_site_fract_y
_atom_site_fract_z
Fe1 0.000 0.221 0.250
Fe2 0.000 0.779 0.750
Fe3 0.500 0.279 0.750
Fe4 0.500 0.721 0.250
Ge1 0.000 0.074 0.750
Ge2 0.000 0.356 0.548
Ge3 0.000 0.356 0.952
Ge4 0.000 0.644 0.048
Ge5 0.000 0.644 0.452
Ge6 0.000 0.926 0.250
Ge7 0.500 0.144 0.048
Ge8 0.500 0.144 0.452
Ge9 0.500 0.426 0.250
Ge10 0.500 0.574 0.750
Ge11 0.500 0.856 0.548
Ge12 0.500 0.856 0.952
```

Values from the calculation:
For the formation energy, the calculation gives 0.0676 eV/atom. The value obtained for the raw total energy is -0.20253 hartree per atom.

=====

Entry 9:
Density functional theory data (GGA-PBE) for crystalline CuSi2Bi2 at its relaxed geometry.

Cell and atoms, written as CIF:
```
data_CuSi2Bi2
_cell_length_a 6.243
_cell_length_b 6.243
_cell_length_c 5.828
_cell_angle_alpha 90.00
_cell_angle_beta 90.00
_cell_angle_gamma 90.00
_symmetry_space_group_name_H-M 'P 1'
_symmetry_Int_Tables_number 1
_symmetry_space_group_name_Hall 'P 1'
loop_
_atom_site_label
_atom_site_fract_x
_atom_site_fract_y
_atom_site_fract_z
Cu1 0.000 0.000 0.000
Cu2 0.500 0.500 0.000
Si1 0.139 0.361 0.000
Si2 0.361 0.861 0.000
Si3 0.639 0.139 0.000
Si4 0.861 0.639 0.000
Bi1 0.190 0.310 0.500
Bi2 0.310 0.810 0.500
Bi3 0.690 0.190 0.500
Bi4 0.810 0.690 0.500
```

Values from the calculation:
The value obtained for the raw total energy is -0.15659 hartree per atom. For the uncorrected formation energy, the calculation gives 280 meV per atom.

=====

Entry 10:
Density functional theory data (GGA-PBE) for crystalline Li3FeN2 at its relaxed geometry.

Cell and atoms, written as CIF:
```
data_Li3FeN2
_cell_length_a 5.573
_cell_length_b 5.573
_cell_length_c 5.573
_cell_angle_alpha 117.94
_cell_angle_beta 98.07
_cell_angle_gamma 113.02
_symmetry_space_group_name_H-M 'P 1'
_symmetry_Int_Tables_number 1
_symmetry_space_group_name_Hall 'P 1'
loop_
_atom_site_label
_atom_site_fract_x
_atom_site_fract_y
_atom_site_fract_z
Li1 0.199 0.000 0.699
Li2 0.199 0.500 0.199
Li3 0.269 0.019 0.250
Li4 0.731 0.981 0.750
Li5 0.801 0.000 0.301
Li6 0.801 0.500 0.801
Fe1 0.332 0.582 0.750
Fe2 0.668 0.418 0.250
N1 0.052 0.302 0.750
N2 0.500 0.000 0.000
N3 0.500 0.500 0.500
N4 0.948 0.698 0.250
```

Values from the calculation:
The value obtained for the raw total energy is -0.20133 hartree per atom. For the uncorrected formation energy, the calculation gives -336 meV per atom.